The following is a DFT calculation (PBE+U) of a relaxed structure of RbDyNiF6.

DOS(E_F): 0.000 states/eV/f.u.
Size of the total moment: 4.0 μB per cell
Uncorrected energy: -95.79 eV per cell

Geometry as CIF:
```
data_RbDyNiF6
_chemical_formula_sum 'Rb2 Dy2 Ni2 F12'
_cell_length_a 8.110
_cell_length_b 7.646
_cell_length_c 7.781
_cell_angle_alpha 119.43
_cell_angle_beta 121.41
_cell_angle_gamma 90.00
_space_group_name_H-M_alt 'P 1'
_space_group_IT_number 1
loop_
_space_group_symop_operation_xyz
'x,y,z'
loop_
_atom_site_label
_atom_site_type_symbol
_atom_site_fract_x
_atom_site_fract_y
_atom_site_fract_z
_atom_site_occupancy
F1 F 0.191 0.335 0.736 1
Rb1 Rb 0.199 0.449 0.398 1
F2 F 0.809 0.099 0.264 1
F3 F 0.545 0.901 0.736 1
F4 F 0.809 0.665 0.264 1
F5 F 0.191 0.901 0.736 1
Ni1 Ni 0.500 0.000 0.000 1
F6 F 0.544 0.294 0.089 1
F7 F 0.545 0.335 0.736 1
Ni2 Ni 0.500 0.500 0.000 1
Dy1 Dy 0.500 0.000 0.500 1
F8 F 0.455 0.665 0.264 1
F9 F 0.167 0.917 0.335 1
F10 F 0.455 0.099 0.264 1
F11 F 0.456 0.706 0.911 1
F12 F 0.833 0.083 0.665 1
Rb2 Rb 0.801 0.551 0.602 1
Dy2 Dy 0.000 0.000 0.500 1
```